Record 1
A relaxed structure of TlInTc2. Source: the Alexandria database, functional PBE.

Cell: 5.4729 5.4729 4.9102 Å, 70.29 70.29 32.58°
Fractional positions:
In1 0.2677 0.2677 0.1915
Tc1 0.0271 0.0271 0.0316
Tc2 0.7225 0.7225 0.7189
Tl1 0.4827 0.4827 0.5581

Computed properties:
- symmetry = Cm (8)
- energy above the lowest structure with this stoichiometry (meV/atom) = 332.7
- D(E_F) (states/eV per cell) = 4.3
- formation enthalpy at 0 K (eV/atom) = 0.53
- size of the total moment (μB/f.u.) = 0.00
- VASP energy (eV/atom) = -5.9300



Record 2
A relaxed structure of TlIn2Tc. Source: the Alexandria database, functional PBE.

Cell: 6.8033 5.2791 3.2806 Å, 90.13 60.94 119.57°
Each line ends with the local moment (μB).
Fractional positions:
In1 0.0000 0.0000 0.0000  -0.02
In2 0.5000 0.0000 0.5000  -0.02
Tc1 0.0000 0.5000 0.5000  1.02
Tl1 0.5000 0.5000 0.0000  -0.01

Computed properties:
- symmetry = C2/m (12)
- D(E_F) (states/eV per cell) = 3.4
- formation enthalpy at 0 K (eV/atom) = 0.52
- size of the total moment (μB/f.u.) = 1.07
- VASP energy (eV/atom) = -4.0371



Record 3
A relaxed structure of Tl2InTc. Source: the Alexandria database, functional PBE.

Cell: 3.0660 4.5824 7.7163 Å, 72.77 90.00 90.00°
Fractional positions:
In1 0.0000 0.5047 0.6153
Tc1 0.5000 0.9903 0.6442
Tl1 0.0000 0.8248 0.9766
Tl2 0.5000 0.1802 0.2639

Computed properties:
- symmetry = Amm2 (38)
- energy above the lowest structure with this stoichiometry (meV/atom) = 0.0
- D(E_F) (states/eV per cell) = 2.7
- formation enthalpy at 0 K (eV/atom) = 0.36
- size of the total moment (μB/f.u.) = 0.00
- VASP energy (eV/atom) = -4.0953



Record 4
A relaxed structure of Tl2InTc. Source: the Alexandria database, functional PBE.

Cell: 7.4914 7.4914 7.4914 Å, 156.75 142.84 44.29°
Fractional positions:
In1 0.4283 0.4283 0.0000
Tc1 0.2553 0.7553 0.5000
Tl1 0.0658 0.0658 0.0000
Tl2 0.7506 0.2506 0.5000

Computed properties:
- symmetry = Imm2 (44)
- energy above the lowest structure with this stoichiometry (meV/atom) = 42.1
- D(E_F) (states/eV per cell) = 2.9
- formation enthalpy at 0 K (eV/atom) = 0.41
- size of the total moment (μB/f.u.) = 0.00
- VASP energy (eV/atom) = -4.0532



Record 5
A relaxed structure of TlInTc3. Source: the Alexandria database, functional PBE.

Cell: 4.9737 4.9737 4.9737 Å, 90.00 90.00 90.00°
Each line ends with the local moment (μB).
Fractional positions:
Tl1 0.5000 0.5000 0.5000  -0.07
Tc1 0.0000 0.5000 0.0000  2.21
Tc2 0.0000 0.0000 0.5000  2.62
Tc3 0.5000 0.0000 0.0000  1.76
In1 0.0000 0.0000 0.0000  -0.06

Computed properties:
- symmetry = Pm-3m (221)
- energy above the lowest structure with this stoichiometry (meV/atom) = 0.0
- D(E_F) (states/eV per cell) = 1.6
- formation enthalpy at 0 K (eV/atom) = 2.09
- size of the total moment (μB/f.u.) = 6.93
- VASP energy (eV/atom) = -5.1494



Record 6
A relaxed structure of TlIn4Tc. Source: the Alexandria database, functional PBE.

Cell: 5.8647 5.8647 5.8647 Å, 60.00 60.00 60.00°
Fractional positions:
Tl1 0.0000 0.0000 0.0000
In1 0.8728 0.3757 0.3757
In2 0.3757 0.3757 0.8728
In3 0.3757 0.8728 0.3757
In4 0.3757 0.3757 0.3757
Tc1 0.7500 0.7500 0.7500

Computed properties:
- symmetry = F-43m (216)
- D(E_F) (states/eV per cell) = 2.1
- formation enthalpy at 0 K (eV/atom) = 0.63
- size of the total moment (μB/f.u.) = 0.00
- VASP energy (eV/atom) = -3.3167